1.
An optimized crystal structure of SiAu2C2. Source: Alexandria, functional GGA-PBEsol.

Summary:
**Energy**: -46.37 eV per cell
**Mass density**: 11.36 g/cm3
**Raw formation energy**: 1940 meV/atom
**N(E_F)**: 0.46 states/eV/atom

Geometry as POSCAR:
```
SiAu2C2
1.0
6.8998 0.0000 0.0000
0.0000 6.8998 0.0000
0.0000 0.0000 2.7398
Si Au C
2 4 4
Direct
0.0000 0.0000 0.0000
0.5000 0.5000 0.0000
0.1586 0.3414 0.0000
0.3414 0.8414 0.0000
0.6586 0.1586 0.0000
0.8414 0.6586 0.0000
0.1428 0.6428 0.5000
0.3572 0.1428 0.5000
0.6428 0.8572 0.5000
0.8572 0.3572 0.5000
```



2.
An optimized crystal structure of Si3AuC. Source: Alexandria, functional GGA-PBEsol.

Summary:
**Energy**: -19.97 eV per cell
**Mass density**: 4.66 g/cm3
**Raw formation energy**: 2169 meV/atom
**N(E_F)**: 0.63 states/eV/atom

Geometry as POSCAR:
```
Si3AuC
1.0
4.7107 0.0000 0.0000
0.0000 4.7107 0.0000
0.0000 0.0000 4.7107
Si Au C
3 1 1
Direct
0.0000 0.0000 0.5000
0.0000 0.5000 0.0000
0.5000 0.0000 0.0000
0.0000 0.0000 0.0000
0.5000 0.5000 0.5000
```



3.
An optimized crystal structure of SnAuC2. Source: Alexandria, functional GGA-PBEsol.

Summary:
**Energy**: -43.39 eV per cell
**Mass density**: 9.27 g/cm3
**N(E_F)**: 0.37 states/eV/atom

Geometry as POSCAR:
```
SnAuC2
1.0
-2.4196 2.4196 5.1954
2.4196 -2.4196 5.1954
2.4196 2.4196 -5.1954
Sn Au C
2 2 4
Direct
0.0000 0.0000 0.0000
0.7500 0.2500 0.5000
0.2500 0.7500 0.5000
0.5000 0.5000 0.0000
0.1399 0.6250 0.0149
0.3750 0.3899 0.5149
0.6101 0.1250 0.9851
0.8750 0.8601 0.4851
```



4.
An optimized crystal structure of SnAu3C. Source: Alexandria, functional GGA-PBEsol.

Summary:
**Energy**: -22.40 eV per cell
**Mass density**: 14.04 g/cm3
**N(E_F)**: 0.30 states/eV/atom

Geometry as POSCAR:
```
SnAu3C
1.0
4.4029 0.0000 0.0000
0.0000 4.4029 0.0000
0.0000 0.0000 4.4029
Sn Au C
1 3 1
Direct
0.0000 0.0000 0.0000
0.0000 0.5000 0.5000
0.5000 0.0000 0.5000
0.5000 0.5000 0.0000
0.5000 0.5000 0.5000
```



5.
An optimized crystal structure of Ta3AuC. Source: Alexandria, functional GGA-PBEsol.

Summary:
**Energy**: -52.58 eV per cell
**Mass density**: 16.35 g/cm3
**N(E_F)**: 0.28 states/eV/atom

Geometry as POSCAR:
```
Ta3AuC
1.0
4.2421 0.0000 0.0000
0.0000 4.2421 0.0000
0.0000 0.0000 4.2421
Ta Au C
3 1 1
Direct
0.0000 0.0000 0.5000
0.0000 0.5000 0.0000
0.5000 0.0000 0.0000
0.5000 0.5000 0.5000
0.0000 0.0000 0.0000
```



6.
An optimized crystal structure of Te3AuC. Source: Alexandria, functional GGA-PBEsol.

Summary:
**Energy**: -18.91 eV per cell
**Mass density**: 9.33 g/cm3
**Raw formation energy**: 1047 meV/atom
**N(E_F)**: 0.78 states/eV/atom

Geometry as POSCAR:
```
Te3AuC
1.0
4.7220 0.0000 0.0000
0.0000 4.7220 0.0000
0.0000 0.0000 4.7220
Te Au C
3 1 1
Direct
0.0000 0.0000 0.5000
0.0000 0.5000 0.0000
0.5000 0.0000 0.0000
0.5000 0.5000 0.5000
0.0000 0.0000 0.0000
```



7.
An optimized crystal structure of YTlAuC2. Source: Alexandria, functional GGA-PBEsol.

Summary:
**Energy**: -21.42 eV per cell
**Mass density**: 7.88 g/cm3
**N(E_F)**: 0.71 states/eV/atom

Geometry as POSCAR:
```
YTlAuC2
1.0
4.2559 0.0000 0.0000
0.0000 4.2559 0.0000
0.0000 0.0000 5.9801
Y Tl Au C
1 1 1 2
Direct
0.0000 0.0000 0.0000
0.0000 0.0000 0.5000
0.5000 0.5000 0.0000
0.0000 0.5000 0.5000
0.5000 0.0000 0.5000
```



8.
An optimized crystal structure of WAuC2. Source: Alexandria, functional GGA-PBEsol.

Summary:
**Energy**: -29.95 eV per cell
**Mass density**: 15.72 g/cm3
**N(E_F)**: 0.29 states/eV/atom

Geometry as POSCAR:
```
WAuC2
1.0
0.0000 2.7758 2.7758
2.7758 0.0000 2.7758
2.7758 2.7758 0.0000
W Au C
1 1 2
Direct
0.0000 0.0000 0.0000
0.5000 0.5000 0.5000
0.2500 0.2500 0.2500
0.7500 0.7500 0.7500
```



9.
An optimized crystal structure of WAu3C. Source: Alexandria, functional GGA-PBEsol.

Summary:
**Energy**: -21.38 eV per cell
**Mass density**: 10.66 g/cm3
**N(E_F)**: 1.17 states/eV/atom

Geometry as POSCAR:
```
WAu3C
1.0
4.9677 0.0000 0.0000
0.0000 4.9677 0.0000
0.0000 0.0000 4.9677
W Au C
1 3 1
Direct
0.0000 0.0000 0.0000
0.0000 0.0000 0.5000
0.0000 0.5000 0.0000
0.5000 0.0000 0.0000
0.5000 0.5000 0.5000
```



10.
An optimized crystal structure of Y3AuC. Source: Alexandria, functional GGA-PBEsol.

Summary:
**Energy**: -36.27 eV per cell
**Mass density**: 7.20 g/cm3
**N(E_F)**: 1.30 states/eV/atom

Geometry as POSCAR:
```
Y3AuC
1.0
4.7883 0.0000 0.0000
0.0000 4.7883 0.0000
0.0000 0.0000 4.7883
Y Au C
3 1 1
Direct
0.0000 0.0000 0.5000
0.0000 0.5000 0.0000
0.5000 0.0000 0.0000
0.5000 0.5000 0.5000
0.0000 0.0000 0.0000
```



11.
An optimized crystal structure of YAuC3. Source: Alexandria, functional GGA-PBEsol.

Summary:
**Energy**: -24.76 eV per cell
**Mass density**: 6.40 g/cm3
**N(E_F)**: 0.48 states/eV/atom

Geometry as POSCAR:
```
YAuC3
1.0
4.3719 0.0000 0.0000
0.0000 4.3719 0.0000
0.0000 0.0000 4.3719
Y Au C
1 1 3
Direct
0.0000 0.0000 0.0000
0.5000 0.5000 0.5000
0.0000 0.0000 0.5000
0.0000 0.5000 0.0000
0.5000 0.0000 0.0000
```



12.
An optimized crystal structure of ZnAuC3. Source: Alexandria, functional GGA-PBEsol.

Summary:
**Energy**: -19.18 eV per cell
**Mass density**: 7.36 g/cm3
**N(E_F)**: 0.57 states/eV/atom

Geometry as POSCAR:
```
ZnAuC3
1.0
4.0688 0.0000 0.0000
0.0000 4.0688 0.0000
0.0000 0.0000 4.0688
Zn Au C
1 1 3
Direct
0.0000 0.0000 0.0000
0.5000 0.5000 0.5000
0.0000 0.5000 0.5000
0.5000 0.0000 0.5000
0.5000 0.5000 0.0000
```



13.
An optimized crystal structure of ZrAuC2. Source: Alexandria, functional GGA-PBEsol.

Summary:
**Energy**: -57.46 eV per cell
**Mass density**: 8.73 g/cm3
**N(E_F)**: 0.61 states/eV/atom

Geometry as POSCAR:
```
ZrAuC2
1.0
-2.3517 2.3517 5.3687
2.3517 -2.3517 5.3687
2.3517 2.3517 -5.3687
Zr Au C
2 2 4
Direct
0.0000 0.0000 0.0000
0.7500 0.2500 0.5000
0.2500 0.7500 0.5000
0.5000 0.5000 0.0000
0.1424 0.6250 0.0174
0.3750 0.3924 0.5174
0.6076 0.1250 0.9826
0.8750 0.8576 0.4826
```



14.
An optimized crystal structure of Zr3AuC. Source: Alexandria, functional GGA-PBEsol.

Summary:
**Energy**: -43.86 eV per cell
**Mass density**: 8.97 g/cm3
**N(E_F)**: 0.51 states/eV/atom

Geometry as POSCAR:
```
Zr3AuC
1.0
4.4700 0.0000 0.0000
0.0000 4.4700 0.0000
0.0000 0.0000 4.4700
Zr Au C
3 1 1
Direct
0.0000 0.0000 0.5000
0.0000 0.5000 0.0000
0.5000 0.0000 0.0000
0.5000 0.5000 0.5000
0.0000 0.0000 0.0000
```



15.
An optimized crystal structure of Ca3Au5. Source: Alexandria, functional GGA-PBEsol.

Summary:
**Energy**: -30.97 eV per cell
**Mass density**: 10.87 g/cm3
**N(E_F)**: 0.35 states/eV/atom

Geometry as POSCAR:
```
Ca3Au5
1.0
3.6370 -4.6510 0.0000
3.6370 4.6510 0.0000
0.0000 0.0000 4.9882
Ca Au
3 5
Direct
0.0000 0.0000 0.0000
0.2919 0.7081 0.5000
0.7081 0.2919 0.5000
0.0000 0.5000 0.0000
0.2005 0.2005 0.5000
0.5000 0.0000 0.0000
0.5000 0.5000 0.0000
0.7995 0.7995 0.5000
```



16.
An optimized crystal structure of Ca5Au. Source: Alexandria, functional GGA-PBEsol.

Summary:
**Energy**: -12.85 eV per cell
**Mass density**: 3.06 g/cm3
**N(E_F)**: 0.98 states/eV/atom

Geometry as POSCAR:
```
Ca5Au
1.0
0.0000 4.7603 4.7603
4.7603 0.0000 4.7603
4.7603 4.7603 0.0000
Ca Au
5 1
Direct
0.0000 0.0000 0.0000
0.3754 0.3754 0.3754
0.3754 0.3754 0.8737
0.3754 0.8737 0.3754
0.8737 0.3754 0.3754
0.7500 0.7500 0.7500
```



17.
An optimized crystal structure of Ca3Au4. Source: Alexandria, functional GGA-PBEsol.

Summary:
**Energy**: -54.52 eV per cell
**Mass density**: 9.67 g/cm3
**N(E_F)**: 0.33 states/eV/atom

Geometry as POSCAR:
```
Ca3Au4
1.0
6.8470 3.9531 1.9207
-6.8470 3.9531 1.9207
0.0000 -7.9062 1.9207
Ca Au
6 8
Direct
0.0256 0.2834 0.4000
0.2834 0.4000 0.0256
0.4000 0.0256 0.2834
0.6000 0.9744 0.7166
0.7166 0.6000 0.9744
0.9744 0.7166 0.6000
0.0000 0.0000 0.0000
0.0519 0.5534 0.2179
0.2179 0.0519 0.5534
0.4466 0.7821 0.9481
0.5000 0.5000 0.5000
0.5534 0.2179 0.0519
0.7821 0.9481 0.4466
0.9481 0.4466 0.7821
```



18.
An optimized crystal structure of Ca2Au. Source: Alexandria, functional GGA-PBEsol.

Summary:
**Energy**: -19.26 eV per cell
**Mass density**: 5.36 g/cm3
**N(E_F)**: 0.83 states/eV/atom

Geometry as POSCAR:
```
Ca2Au
1.0
1.8150 -9.1114 0.0000
1.8150 9.1114 0.0000
0.0000 0.0000 5.1890
Ca Au
4 2
Direct
0.0676 0.9324 0.7500
0.1975 0.8025 0.2500
0.8025 0.1975 0.7500
0.9324 0.0676 0.2500
0.4326 0.5674 0.7500
0.5674 0.4326 0.2500
```



19.
An optimized crystal structure of Ca5Au. Source: Alexandria, functional GGA-PBEsol.

Summary:
**Energy**: -16.06 eV per cell
**Mass density**: 3.21 g/cm3
**N(E_F)**: 1.08 states/eV/atom

Geometry as POSCAR:
```
Ca5Au
1.0
6.4700 -1.8773 0.0000
6.4700 1.8773 0.0000
-3.5807 0.0000 8.4530
Ca Au
5 1
Direct
0.0000 0.0000 0.0000
0.3293 0.3293 0.2161
0.3760 0.3760 0.6248
0.6240 0.6240 0.3752
0.6707 0.6707 0.7839
0.0000 0.0000 0.5000
```



20.
An optimized crystal structure of Ca5Au2. Source: Alexandria, functional GGA-PBEsol.

Summary:
**Energy**: -44.46 eV per cell
**Mass density**: 4.65 g/cm3
**N(E_F)**: 0.74 states/eV/atom

Geometry as POSCAR:
```
Ca5Au2
1.0
8.2548 -3.3815 0.0000
8.2548 3.3815 0.0000
-1.0300 0.0000 7.6098
Ca Au
10 4
Direct
0.0787 0.9213 0.7500
0.1385 0.2990 0.3165
0.2990 0.1385 0.8165
0.2990 0.5199 0.0781
0.4801 0.7010 0.4219
0.5199 0.2990 0.5781
0.7010 0.4801 0.9219
0.7010 0.8615 0.1835
0.8615 0.7010 0.6835
0.9213 0.0787 0.2500
0.0973 0.6825 0.4191
0.3175 0.9027 0.0809
0.6825 0.0973 0.9191
0.9027 0.3175 0.5809
```



21.
An optimized crystal structure of Ca2Au. Source: Alexandria, functional GGA-PBEsol.

Summary:
**Energy**: -9.76 eV per cell
**Mass density**: 5.12 g/cm3
**N(E_F)**: 0.73 states/eV/atom

Geometry as POSCAR:
```
Ca2Au
1.0
0.0000 3.5555 3.5555
3.5555 0.0000 3.5555
3.5555 3.5555 0.0000
Ca Au
2 1
Direct
0.2500 0.2500 0.2500
0.7500 0.7500 0.7500
0.0000 0.0000 0.0000
```



22.
An optimized crystal structure of Ca3Au. Source: Alexandria, functional GGA-PBEsol.

Summary:
**Energy**: -11.92 eV per cell
**Mass density**: 4.25 g/cm3
**N(E_F)**: 0.88 states/eV/atom

Geometry as POSCAR:
```
Ca3Au
1.0
3.6552 0.0000 0.0000
0.0000 3.6552 0.0000
0.0000 0.0000 9.2779
Ca Au
3 1
Direct
0.0000 0.0000 0.0000
0.5000 0.5000 0.3180
0.5000 0.5000 0.6820
0.0000 0.0000 0.5000
```



23.
An optimized crystal structure of Ca2Au. Source: Alexandria, functional GGA-PBEsol.

Summary:
**Energy**: -19.32 eV per cell
**Mass density**: 5.23 g/cm3
**N(E_F)**: 0.87 states/eV/atom

Geometry as POSCAR:
```
Ca2Au
1.0
-1.7920 1.7920 13.7070
1.7920 -1.7920 13.7070
1.7920 1.7920 -13.7070
Ca Au
4 2
Direct
0.3125 0.5625 0.7500
0.4375 0.6875 0.7500
0.5625 0.3125 0.2500
0.6875 0.4375 0.2500
0.1250 0.8750 0.2500
0.8750 0.1250 0.7500
```



24.
An optimized crystal structure of Ca3Au. Source: Alexandria, functional GGA-PBEsol.

Summary:
**Energy**: -48.76 eV per cell
**Mass density**: 4.21 g/cm3
**N(E_F)**: 0.84 states/eV/atom

Geometry as POSCAR:
```
Ca3Au
1.0
7.7646 0.0000 0.0000
0.0000 9.6540 0.0000
0.0000 0.0000 6.6837
Ca Au
12 4
Direct
0.0350 0.2500 0.1392
0.1744 0.0631 0.6609
0.1744 0.4369 0.6609
0.3256 0.5631 0.1609
0.3256 0.9369 0.1609
0.4650 0.7500 0.6392
0.5350 0.2500 0.3608
0.6744 0.0631 0.8391
0.6744 0.4369 0.8391
0.8256 0.5631 0.3391
0.8256 0.9369 0.3391
0.9650 0.7500 0.8608
0.1225 0.7500 0.4518
0.3775 0.2500 0.9518
0.6225 0.7500 0.0482
0.8775 0.2500 0.5482
```



25.
An optimized crystal structure of Ca2Au. Source: Alexandria, functional GGA-PBEsol.

Summary:
**Energy**: -19.74 eV per cell
**Mass density**: 5.24 g/cm3
**N(E_F)**: 0.62 states/eV/atom

Geometry as POSCAR:
```
Ca2Au
1.0
1.9403 -6.5180 0.0000
1.9403 6.5180 0.0000
0.0000 0.0000 6.9460
Ca Au
4 2
Direct
0.0161 0.9839 0.5000
0.2815 0.7185 0.6808
0.7185 0.2815 0.1808
0.9839 0.0161 0.0000
0.3843 0.6157 0.2800
0.6157 0.3843 0.7800
```